w) Computed, not measured: crystalline AcPt2Au4 at its relaxed geometry at the PBE level of DFT.

Summary:
For the total magnetization, the calculation gives 0.00 μB/cell.

Lattice parameters (Å, degrees): 8.395 8.395 5.401 90.00 90.00 90.00
Space group I4/mmm (No. 139)
One atom of each set of equivalent atoms:
1 Ac 0.000 0.000 0.000 (multiplicity 2)
2 Pt 0.000 0.500 0.250 (multiplicity 4)
3 Au 0.000 0.228 0.500 (multiplicity 8)


x) Computed, not measured: crystalline AcPt2Au4 at its relaxed geometry at the PBE level of DFT.

Summary:
For the total magnetization, the calculation gives 0.00 μB/cell.

Lattice parameters (Å, degrees): 9.023 7.142 5.550 90.00 127.77 90.00
Space group C2/m (No. 12)
One atom of each set of equivalent atoms:
1 Ac 0.000 0.000 0.000 (multiplicity 2)
2 Pt 0.000 0.500 0.251 (multiplicity 4)
3 Au 0.197 0.196 0.697 (multiplicity 8)


Which of them is the most stable? Correct choice: x).


w) Computed, not measured: crystalline Ac4PtAu at its relaxed geometry at the PBE level of DFT.

Summary:
For the total magnetization, the calculation gives 0.00 μB/cell.

Lattice parameters (Å, degrees): 8.818 16.917 7.590 90.00 124.70 90.00
Space group C2/c (No. 15)
One atom of each set of equivalent atoms:
1 Ac 0.227 0.204 0.234 (multiplicity 8)
2 Ac 0.242 0.053 0.741 (multiplicity 8)
3 Pt 0.000 0.074 0.250 (multiplicity 4)
4 Au 0.000 0.417 0.750 (multiplicity 4)


x) Computed, not measured: crystalline Ac4PtAu at its relaxed geometry at the PBE level of DFT.

Summary:
For the total magnetization, the calculation gives 0.00 μB/cell.

Lattice parameters (Å, degrees): 7.576 7.914 9.123 110.53 114.34 90.24
Space group P-1 (No. 2)
One atom of each set of equivalent atoms:
1 Ac 0.075 0.467 0.212 (multiplicity 2)
2 Ac 0.138 0.969 0.213 (multiplicity 2)
3 Ac 0.327 0.849 0.721 (multiplicity 2)
4 Ac 0.393 0.349 0.722 (multiplicity 2)
5 Pt 0.000 0.500 0.500 (multiplicity 1)
6 Pt 0.500 0.000 0.500 (multiplicity 1)
7 Au 0.304 0.249 0.001 (multiplicity 2)


Which of them is the most stable? Correct choice: w).